VASP calculation (PBE-GGA) on a relaxed ReSi2P crystal.

Cell and atoms, written as POSCAR:
```
ReSi2P
1.0
2.975 0.000 0.000
0.000 2.975 0.000
0.000 0.000 6.579
P Re Si
1 1 2
Direct
0.000 0.000 0.545
0.500 0.500 0.749
0.000 0.000 0.980
0.500 0.500 0.226
```

Computed properties:
calculated volume	14.56	Å³/atom
raw total energy	-28.119	eV per cell
formation energy from raw total energies	0.146	eV/atom
magnetization	0.00	Bohr magnetons per cell